Density functional theory data (PBE) for an optimized crystal structure of CeNdMgTl.

Unit cell a=7.7713 b=7.7713 c=7.7713 alpha=90.00 beta=90.00 gamma=90.00
Space group F-43m (No. 216)
Inequivalent atoms, fractional coordinates:
1 Ce 0.0000 0.0000 0.0000 [4 per cell]
2 Nd 0.0000 0.0000 0.5000 [4 per cell]
3 Mg 0.2500 0.2500 0.2500 [4 per cell]
4 Tl 0.2500 0.2500 0.7500 [4 per cell]

Output
The mass density is 7.26 g/cm³. The value obtained for the formation energy is -0.61 eV per formula unit. For the volume, the calculation gives 117 Å³/f.u. Its electronic total energy is -3.818 eV per atom.